# 1
Below is a relaxed MoAu3S crystal, with properties calculated at the PBE level.

The structure in POSCAR format:
```
MoAu3S
1.0
4.7512 0.0000 0.0000
0.0000 4.7512 0.0000
0.0000 0.0000 4.7512
Mo Au S
1 3 1
Cartesian
0.0000 0.0000 0.0000 Mo
0.0000 2.3756 2.3756 Au
2.3756 0.0000 2.3756 Au
2.3756 2.3756 0.0000 Au
2.3756 2.3756 2.3756 S
```

Properties
electronic total energy	-3.917	eV/atom
crystal system	cubic
formation energy without anion corrections	1.041	eV per atom


# 2
Below is a relaxed Mo2AuS2 crystal, with properties calculated at the PBE level.

The structure in POSCAR format:
```
Mo2AuS2
1.0
-2.1414 2.1414 4.5539
2.1414 -2.1414 4.5539
2.1414 2.1414 -4.5539
Mo Au S
2 1 2
Cartesian
2.1414 0.0000 2.2769 Mo
0.0000 2.1414 2.2769 Mo
0.0000 0.0000 0.0000 Au
0.0000 0.0000 3.2917 S
0.0000 0.0000 5.8160 S
```

Properties
electronic total energy	-6.698	eV/atom
crystal system	tetragonal
formation energy without anion corrections	-0.060	eV per atom


# 3
Below is a relaxed MoAu3S crystal, with properties calculated at the PBE level.

The structure in POSCAR format:
```
MoAu3S
1.0
5.0366 0.0000 0.0000
0.0000 5.0366 0.0000
0.0000 0.0000 5.0366
Mo Au S
1 3 1
Cartesian
0.0000 0.0000 0.0000 Mo
0.0000 0.0000 2.5183 Au
0.0000 2.5183 0.0000 Au
2.5183 0.0000 0.0000 Au
2.5183 2.5183 2.5183 S
```

Properties
electronic total energy	-3.439	eV/atom
crystal system	cubic
formation energy without anion corrections	1.520	eV per atom


# 4
Below is a relaxed Mo2AuS crystal, with properties calculated at the PBE level.

The structure in POSCAR format:
```
Mo2AuS
1.0
-1.8891 1.8891 9.5831
1.8891 -1.8891 9.5831
1.8891 1.8891 -9.5831
Mo Au S
4 2 2
Cartesian
2.8337 0.8314 -2.3958 Mo
0.8314 0.9446 2.3958 Mo
-0.9446 1.0578 7.1873 Mo
1.0578 0.9446 11.9788 Mo
1.8891 0.0000 4.7915 Au
0.0000 0.0000 9.5831 Au
0.0000 0.0000 0.0000 S
0.0000 1.8891 4.7915 S
```

Properties
electronic total energy	-6.622	eV/atom
crystal system	tetragonal
formation energy without anion corrections	0.645	eV per atom


# 5
Below is a relaxed MoAuS2 crystal, with properties calculated at the PBE level.

The structure in POSCAR format:
```
MoAuS2
1.0
1.6195 0.9350 7.8939
-1.6195 0.9350 7.8939
0.0000 -1.8700 7.8939
Mo Au S
1 1 2
Cartesian
0.0000 0.0000 0.0000 Mo
0.0000 0.0000 11.8408 Au
0.0000 0.0000 9.4589 S
0.0000 0.0000 14.2227 S
```

Properties
electronic total energy	-5.962	eV/atom
crystal system	trigonal
formation energy without anion corrections	-0.371	eV per atom


# 6
Below is a relaxed Mo2AuS2 crystal, with properties calculated at the PBE level.

The structure in POSCAR format:
```
Mo2AuS2
1.0
7.2615 0.0000 0.0000
0.0000 7.2615 0.0000
0.0000 0.0000 2.8680
Mo Au S
4 2 4
Cartesian
1.1633 2.4674 0.0000 Mo
2.4674 6.0982 0.0000 Mo
4.7941 1.1633 0.0000 Mo
6.0982 4.7941 0.0000 Mo
0.0000 0.0000 1.4340 Au
3.6308 3.6308 1.4340 Au
0.9757 4.6064 1.4340 S
2.6551 0.9757 1.4340 S
4.6064 6.2858 1.4340 S
6.2858 2.6551 1.4340 S
```

Properties
electronic total energy	-6.516	eV/atom
crystal system	tetragonal
formation energy without anion corrections	0.123	eV per atom


# 7
Below is a relaxed MoAuS2 crystal, with properties calculated at the PBE level.

The structure in POSCAR format:
```
MoAuS2
1.0
0.0000 3.1597 3.1597
3.1597 0.0000 3.1597
3.1597 3.1597 0.0000
Mo Au S
1 1 2
Cartesian
0.0000 0.0000 0.0000 Mo
3.1597 3.1597 3.1597 Au
1.5798 1.5798 1.5798 S
4.7395 4.7395 4.7395 S
```

Properties
electronic total energy	-5.202	eV/atom
crystal system	cubic
formation energy without anion corrections	0.389	eV per atom


# 8
Below is a relaxed MoAuS crystal, with properties calculated at the PBE level.

The structure in POSCAR format:
```
MoAuS
1.0
2.7892 -2.2166 0.0000
2.7892 2.2166 0.0000
-0.6976 0.0000 9.0960
Mo Au S
2 2 2
Cartesian
1.0430 0.0000 0.8648 Mo
3.8379 0.0000 8.2311 Mo
1.2873 0.0000 3.7423 Au
3.5935 0.0000 5.3537 Au
0.4810 0.0000 7.5387 S
4.3999 0.0000 1.5572 S
```

Properties
electronic total energy	-6.098	eV/atom
crystal system	monoclinic
formation energy without anion corrections	-0.019	eV per atom